# RbPrMgSe3

Crystalline RbPrMgSe3 at its relaxed geometry (PBE, Alexandria via LeMat-Bulk).

Lattice parameters (Å, degrees): 4.3956 9.5219 10.3252 106.87 90.00 90.00
With the nearest neighbours (Å) after each atom.
Positions (direct):
Mg  0.7500  0.9153  0.3937  4 Se 2.54-2.64
Mg  0.2500  0.0847  0.6063  4 Se 2.54-2.64
Se  0.7500  0.8850  0.1409  1 Mg 2.54
Se  0.7500  0.1940  0.5369  3 Mg 2.62-2.64
Rb  0.2500  0.2022  0.2255  7 Se 3.53-3.91
Se  0.7500  0.4609  0.1561  3 Pr 2.93-2.99
Se  0.2500  0.5391  0.8439  3 Pr 2.93-2.99
Se  0.2500  0.8060  0.4631  3 Mg 2.62-2.64
Pr  0.2500  0.6676  0.1388  6 Se 2.93-3.22
Pr  0.7500  0.3324  0.8612  6 Se 2.93-3.22
Rb  0.7500  0.7978  0.7745  7 Se 3.53-3.91
Se  0.2500  0.1150  0.8591  1 Mg 2.54

Properties
Spin magnetization = 0.00 μB per formula unit
Formation energy from raw total energies = -1545.8 meV per atom
Theoretical density = 3.9 g/cm³
Volume = 413.5 Å³ per cell

***

# SrY3Ru

Crystalline SrY3Ru at its relaxed geometry (PBE, Alexandria via LeMat-Bulk).

Lattice parameters (Å, degrees): 19.0343 8.8375 8.8375 142.60 153.32 26.68
With the nearest neighbours (Å) after each atom.
Positions (direct):
Y  0.9000  0.4098  0.5902  1 Ru 2.77
Y  0.1000  0.5902  0.4098  1 Ru 2.77
Ru  0.8859  0.2593  0.7407  3 Y 2.61-2.77
Y  0.5467  0.2544  0.7456  1 Ru 2.76
Y  0.2247  0.8063  0.1937  1 Ru 2.61
Y  0.4533  0.7456  0.2544  1 Ru 2.76
Sr  0.3003  0.1215  0.8785  2 Ru 3.35, 6 Y 3.36-3.68
Ru  0.1141  0.7407  0.2593  3 Y 2.61-2.77
Sr  0.6997  0.8785  0.1215  2 Ru 3.35, 6 Y 3.36-3.68
Y  0.7753  0.1937  0.8063  1 Ru 2.61

Properties
Total DFT energy (no corrections) = -6.072 eV per atom
Spin magnetization = 0.00 μB per formula unit
Theoretical density = 5.0 g/cm³
Volume = 299.7 Å³ per cell

***

# CaSc4Re

Crystalline CaSc4Re at its relaxed geometry (PBE, Alexandria via LeMat-Bulk).

Lattice parameters (Å, degrees): 5.8093 5.8093 5.8093 60.00 60.00 60.00
With the nearest neighbours (Å) after each atom.
Positions (direct):
Ca  0.7500  0.7500  0.7500  12 Sc 3.42, 4 Re 3.56
Sc  0.3709  0.3709  0.8873  6 Sc 2.81-3.00
Sc  0.3709  0.3709  0.3709  6 Sc 2.81-3.00
Sc  0.3709  0.8873  0.3709  6 Sc 2.81-3.00
Sc  0.8873  0.3709  0.3709  6 Sc 2.81-3.00
Re  0.0000  0.0000  0.0000  12 Sc 3.40, 4 Ca 3.56

Properties
Total DFT energy (no corrections) = -5.981 eV per atom
Spin magnetization = 0.00 μB per formula unit
Theoretical density = 4.9 g/cm³
Volume = 138.6 Å³ per cell

***

# NbCr3Cu2S8

Crystalline NbCr3Cu2S8 at its relaxed geometry (PBE, Alexandria via LeMat-Bulk).

Lattice parameters (Å, degrees): 3.4459 11.0800 12.6594 90.00 90.00 90.00
With the nearest neighbours (Å) after each atom.
Positions (direct):
S  0.5000  0.3847  0.0503  3 Cr 2.39-2.50, 2 Cu 2.53
S  0.0000  0.1559  0.9583  3 Cr 2.35
Cr  0.0000  0.3605  0.9087  6 S 2.35-2.50
S  0.0000  0.6643  0.2830  3 Cr 2.36-2.51, 1 Cu 2.46
Cu  0.0000  0.5220  0.1333  5 S 2.46-2.53
S  0.0000  0.0413  0.6743  2 Cu 2.42, 3 Cr 2.43-2.63
Cr  0.0000  0.8116  0.1327  6 S 2.40-2.51
Cr  0.5000  0.6395  0.4087  6 S 2.35-2.50
S  0.0000  0.8784  0.9449  1 Cr 2.49, 2 Nb 2.51, 2 Cu 2.77
S  0.5000  0.9587  0.1743  2 Cu 2.42, 3 Cr 2.43-2.63
S  0.5000  0.3357  0.7830  3 Cr 2.36-2.51, 1 Cu 2.46
S  0.0000  0.5730  0.8619  1 Cr 2.43, 2 Nb 2.45
S  0.5000  0.4270  0.3619  1 Cr 2.43, 2 Nb 2.45
S  0.5000  0.7893  0.7084  1 Cu 2.30, 2 Cr 2.38, 1 Nb 2.38
Nb  0.5000  0.7267  0.8883  6 S 2.38-2.51
S  0.5000  0.6740  0.0780  2 Cr 2.40, 1 Nb 2.47, 2 Cu 2.51
Cu  0.0000  0.0275  0.2945  3 S 2.30-2.42
Cr  0.0000  0.8279  0.5834  5 S 2.35-2.39
Nb  0.0000  0.2733  0.3883  6 S 2.38-2.51
S  0.0000  0.3260  0.5780  2 Cr 2.40, 1 Nb 2.47, 2 Cu 2.51
Cr  0.5000  0.1721  0.0834  5 S 2.35-2.39
Cr  0.5000  0.1884  0.6327  6 S 2.40-2.51
S  0.5000  0.1216  0.4449  1 Cr 2.49, 2 Nb 2.51, 2 Cu 2.77
S  0.5000  0.8441  0.4583  3 Cr 2.35
S  0.0000  0.2107  0.2084  1 Cu 2.30, 2 Cr 2.38, 1 Nb 2.38
S  0.0000  0.6153  0.5503  3 Cr 2.39-2.50, 2 Cu 2.53
Cu  0.5000  0.9725  0.7945  3 S 2.30-2.42
Cu  0.5000  0.4780  0.6333  5 S 2.46-2.53

Properties
Spin magnetization = 8.77 μB per formula unit
Formation energy from raw total energies = -504.3 meV per atom
Theoretical density = 4.3 g/cm³
Volume = 483.3 Å³ per cell

***

# InSe2

Crystalline InSe2 at its relaxed geometry (PBE, Alexandria via LeMat-Bulk).

Lattice parameters (Å, degrees): 5.9683 5.9683 5.9683 60.00 60.00 60.00
With the nearest neighbours (Å) after each atom.
Positions (direct):
Se  0.6250  0.1250  0.1250  6 Se 2.98
Se  0.1250  0.6250  0.1250  6 Se 2.98
In  0.7500  0.7500  0.7500  12 Se 3.50, 4 In 3.65
In  0.5000  0.5000  0.5000  12 Se 3.50, 4 In 3.65
Se  0.1250  0.1250  0.6250  6 Se 2.98
Se  0.1250  0.1250  0.1250  6 Se 2.98

Properties
Spin magnetization = 0.00 μB per formula unit
Formation energy from raw total energies = 157.1 meV per atom
Theoretical density = 6.0 g/cm³
Volume = 150.3 Å³ per cell

***

# CaGaGe3

Crystalline CaGaGe3 at its relaxed geometry (PBE, Alexandria via LeMat-Bulk).

Lattice parameters (Å, degrees): 4.2660 6.8115 8.3508 90.00 90.00 105.98
With the nearest neighbours (Å) after each atom.
Positions (direct):
Ge  0.5293  0.1880  0.5038  2 Ge 2.50-2.51, 1 Ga 2.52
Ge  0.6928  0.3883  0.2500  2 Ge 2.51, 2 Ga 2.53-2.54
Ge  0.5293  0.1880  0.9962  2 Ge 2.50-2.51, 1 Ga 2.52
Ge  0.4707  0.8120  0.0038  2 Ge 2.50-2.51, 1 Ga 2.52
Ca  0.0037  0.0063  0.2500  10 Ge 3.08-3.39, 1 Ga 3.33
Ge  0.4707  0.8120  0.4962  2 Ge 2.50-2.51, 1 Ga 2.52
Ga  0.7126  0.4024  0.7500  4 Ge 2.52-2.54
Ga  0.2874  0.5976  0.2500  4 Ge 2.52-2.54
Ca  0.9963  0.9937  0.7500  10 Ge 3.08-3.39, 1 Ga 3.33
Ge  0.3072  0.6117  0.7500  2 Ge 2.51, 2 Ga 2.53-2.54

Properties
Total DFT energy (no corrections) = -4.002 eV per atom
Spin magnetization = 0.00 μB per formula unit
Theoretical density = 4.7 g/cm³
Volume = 233.3 Å³ per cell

***

# Sr2RuW

Crystalline Sr2RuW at its relaxed geometry (PBE, Alexandria via LeMat-Bulk).

Lattice parameters (Å, degrees): 4.0973 4.0957 5.2541 90.00 90.00 90.00
With the nearest neighbours (Å) after each atom.
Positions (direct):
Sr  0.0000  0.0000  0.0000  4 Sr 2.90
W  0.5000  0.0000  0.5000  4 Ru 2.90
Ru  0.0000  0.5000  0.5000  4 W 2.90
Sr  0.5000  0.5000  0.0000  4 Sr 2.90

Properties
Total DFT energy (no corrections) = -5.201 eV per atom
Spin magnetization = 0.00 μB per formula unit
Theoretical density = 8.7 g/cm³
Volume = 88.2 Å³ per cell

***

# Zn2TcSnPt

Crystalline Zn2TcSnPt at its relaxed geometry (PBE, Alexandria via LeMat-Bulk).

Lattice parameters (Å, degrees): 4.7908 5.2095 4.7908 90.00 90.00 90.00
With the nearest neighbours (Å) after each atom.
Positions (direct):
Zn  0.5000  0.0000  0.0000  2 Sn 2.40
Tc  0.0000  0.5000  0.0000  2 Sn 2.60
Pt  0.5000  0.5000  0.5000  4 Tc 3.39, 8 Zn 3.54
Sn  0.0000  0.0000  0.0000  4 Zn 2.40, 2 Tc 2.60
Zn  0.0000  0.0000  0.5000  2 Sn 2.40

Properties
Total DFT energy (no corrections) = -3.223 eV per atom
Spin magnetization = 3.33 μB per formula unit
Theoretical density = 7.5 g/cm³
Volume = 119.6 Å³ per cell

***

# ZnNiIr2

Crystalline ZnNiIr2 at its relaxed geometry (PBE, Alexandria via LeMat-Bulk).

Lattice parameters (Å, degrees): 4.5446 4.5446 4.6963 79.86 79.86 34.82
With the nearest neighbours (Å) after each atom.
Positions (direct):
Ni  0.2500  0.2500  0.2500  6 Ir 2.62-2.66, 4 Zn 2.71, 2 Ni 2.72
Ir  0.9968  0.9968  0.0059  3 Ni 2.62-2.66, 3 Zn 2.64-2.67, 6 Ir 2.67-2.75
Zn  0.7500  0.7500  0.7500  6 Ir 2.64-2.67, 4 Ni 2.71, 2 Zn 2.72
Ir  0.5032  0.5032  0.4941  3 Ni 2.62-2.66, 3 Zn 2.64-2.67, 6 Ir 2.67-2.75

Properties
Total DFT energy (no corrections) = -6.271 eV per atom
Spin magnetization = 0.69 μB per formula unit
Theoretical density = 15.5 g/cm³
Volume = 54.4 Å³ per cell

***

# Cs2NaCdAg

Crystalline Cs2NaCdAg at its relaxed geometry (PBE, Alexandria via LeMat-Bulk).

Lattice parameters (Å, degrees): 7.0804 7.0804 5.8020 90.00 90.00 90.00
With the nearest neighbours (Å) after each atom.
Positions (direct):
Ag  0.0000  0.0000  0.0000  2 Na 2.90
Cs  0.5000  0.0000  0.0000  2 Ag 3.54
Na  0.0000  0.0000  0.5000  2 Ag 2.90
Cd  0.5000  0.5000  0.5000  8 Cs 4.58, 4 Na 5.01
Cs  0.0000  0.5000  0.0000  2 Ag 3.54

Properties
Total DFT energy (no corrections) = -1.240 eV per atom
Spin magnetization = 0.03 μB per formula unit
Theoretical density = 2.9 g/cm³
Volume = 290.9 Å³ per cell

***

# Cs12Rb5Hg3

Crystalline Cs12Rb5Hg3 at its relaxed geometry (PBE, Alexandria via LeMat-Bulk).

Lattice parameters (Å, degrees): 5.4162 20.0668 20.0668 120.00 90.00 90.00
With the nearest neighbours (Å) after each atom.
Positions (direct):
Rb  0.0000  0.3333  0.6667  6 Cs 4.76
Rb  0.0000  0.2702  0.0000  7 Cs 4.80-5.16
Cs  0.0000  0.1850  0.1850  2 Hg 3.92
Cs  0.5000  0.4415  0.2220  1 Hg 3.82
Hg  0.5000  0.6736  0.0000  6 Cs 3.82-4.00
Cs  0.0000  0.8150  0.0000  2 Hg 3.92
Cs  0.5000  0.7805  0.5585  1 Hg 3.82
Cs  0.0000  0.5272  0.0000  2 Hg 4.00
Rb  0.0000  0.6667  0.3333  6 Cs 4.76
Cs  0.0000  0.0000  0.8150  2 Hg 3.92
Cs  0.5000  0.7780  0.2195  1 Hg 3.82
Cs  0.5000  0.2220  0.4415  1 Hg 3.82
Cs  0.5000  0.5585  0.7805  1 Hg 3.82
Hg  0.5000  0.0000  0.6736  6 Cs 3.82-4.00
Cs  0.0000  0.0000  0.5272  2 Hg 4.00
Hg  0.5000  0.3264  0.3264  6 Cs 3.82-4.00
Rb  0.0000  0.0000  0.2702  7 Cs 4.80-5.16
Cs  0.0000  0.4728  0.4728  2 Hg 4.00
Cs  0.5000  0.2195  0.7780  1 Hg 3.82
Rb  0.0000  0.7298  0.7298  7 Cs 4.80-5.16

Properties
Total DFT energy (no corrections) = -0.830 eV per atom
Spin magnetization = 0.00 μB per formula unit
Theoretical density = 2.3 g/cm³
Volume = 1888.8 Å³ per cell